! PBE TmPaTeN2, optimized geometry; values from VASP
! Energy relative to the elements, uncorrected in kJ/mol of atoms: -166
! Size of the total moment in μB/atom: 0.00
! Calculated volume in Å³ per cell: 196
&SYSTEM
  ibrav = 0, nat = 10, ntyp = 4
/
ATOMIC_SPECIES
Tm 168.93 Tm.upf
Pa 231.04 Pa.upf
Te 127.60 Te.upf
N 14.01 N.upf
CELL_PARAMETERS angstrom
3.967 0.000 0.000
0.000 3.967 0.000
0.000 0.000 12.441
ATOMIC_POSITIONS angstrom
Tm 0.000 0.000 0.000
Tm 1.984 1.984 6.220
Pa 0.000 0.000 4.145
Pa 1.984 1.984 10.365
Te 0.000 0.000 8.273
Te 1.984 1.984 2.052
N 0.000 1.984 5.097
N 0.000 1.984 11.318
N 1.984 0.000 5.097
N 1.984 0.000 11.318